[1]
Entry from the Open Quantum Materials Database: an optimized crystal structure of LaNd2Co2B2P3 (PBE).

* raw total energy: -6.63 eV per atom

Cell: 4.0147 4.0147 22.2775 Å, 90.00 90.00 90.00°
Space group I4/mmm (No. 139)
Inequivalent atoms, fractional coordinates:
La 0.0000 0.0000 0.0000 [2 per cell]
Nd 0.0000 0.0000 0.3587 [4 per cell]
Co 0.0000 0.5000 0.2500 [4 per cell]
B 0.0000 0.0000 0.2172 [4 per cell]
P 0.0000 0.0000 0.1295 [4 per cell]
P 0.0000 0.0000 0.5000 [2 per cell]

***

[2]
Entry from the Open Quantum Materials Database: an optimized crystal structure of Nd2YCd3In2Au (PBE).

* raw total energy: -3.56 eV per atom

Cell: 4.5659 13.1594 7.6654 Å, 90.00 90.00 90.00°
Space group Amm2 (No. 38)
Inequivalent atoms, fractional coordinates:
Nd 0.0000 0.2021 0.0000 [4 per cell]
Y 0.0000 0.0000 0.3944 [2 per cell]
Cd 0.5000 0.0000 0.0388 [2 per cell]
Cd 0.5000 0.1213 0.6749 [4 per cell]
In 0.5000 0.1642 0.2980 [4 per cell]
Au 0.0000 0.0000 0.7909 [2 per cell]

***

[3]
Entry from the Open Quantum Materials Database: an optimized crystal structure of LaZrPBr2 (PBE).

* raw total energy: -6.01 eV per atom

Cell: 3.9887 3.9887 10.5916 Å, 90.00 90.00 120.00°
Space group P3m1 (No. 156)
Inequivalent atoms, fractional coordinates:
La 0.0000 0.0000 0.0000 [1 per cell]
Zr 0.3333 0.6667 0.7189 [1 per cell]
P 0.6667 0.3333 0.8375 [1 per cell]
Br 0.0000 0.0000 0.5516 [1 per cell]
Br 0.3333 0.6667 0.1912 [1 per cell]

***

[4]
Entry from the Open Quantum Materials Database: an optimized crystal structure of CdHgSO (PBE).

* energy above the most stable polymorph in this dataset: 0.5555 eV/atom

Cell: 4.9172 4.9172 7.0501 Å, 90.00 90.00 90.00°
Space group P4/nmm (No. 129, origin choice 2)
Inequivalent atoms, fractional coordinates:
Cd 0.2500 0.2500 0.1591 [2 per cell]
Hg 0.2500 0.2500 0.7319 [2 per cell]
S 0.2500 0.7500 0.0000 [2 per cell]
O 0.2500 0.2500 0.4481 [2 per cell]

***

[5]
Entry from the Open Quantum Materials Database: an optimized crystal structure of PmBOs (PBE).

* energy above the most stable polymorph in this dataset: 1.3484 eV/atom

Cell: 6.3402 6.3402 6.3402 Å, 90.00 90.00 90.00°
Space group F-43m (No. 216)
Inequivalent atoms, fractional coordinates:
Pm 0.0000 0.0000 0.0000 [4 per cell]
B 0.2500 0.2500 0.7500 [4 per cell]
Os 0.2500 0.2500 0.2500 [4 per cell]

***

[6]
Entry from the Open Quantum Materials Database: an optimized crystal structure of KTcB (PBE).

* energy above the most stable polymorph in this dataset: 0.9994 eV/atom

Cell: 6.5430 6.5430 6.5430 Å, 90.00 90.00 90.00°
Space group F-43m (No. 216)
Inequivalent atoms, fractional coordinates:
K 0.0000 0.0000 0.0000 [4 per cell]
Tc 0.2500 0.2500 0.2500 [4 per cell]
B 0.2500 0.2500 0.7500 [4 per cell]

***

[7]
Entry from the Open Quantum Materials Database: an optimized crystal structure of Zn2Au (PBE).

* E_form: -0.142 eV/atom

Cell: 7.4746 4.5742 11.3178 Å, 90.00 100.74 90.00°
Space group P2_1/m (No. 11)
Inequivalent atoms, fractional coordinates:
Zn 0.0370 0.2500 0.3171 [2 per cell]
Zn 0.0486 0.2500 0.0614 [2 per cell]
Zn 0.0603 0.2500 0.5759 [2 per cell]
Zn 0.0618 0.2500 0.8189 [2 per cell]
Zn 0.2660 0.7500 0.3424 [2 per cell]
Zn 0.2709 0.7500 0.1001 [2 per cell]
Zn 0.3927 0.2500 0.4833 [2 per cell]
Zn 0.3928 0.2500 0.9890 [2 per cell]
Au 0.2670 0.7500 0.5788 [2 per cell]
Au 0.2745 0.7500 0.8616 [2 per cell]
Au 0.3528 0.2500 0.2325 [2 per cell]
Au 0.3973 0.2500 0.7357 [2 per cell]

***

[8]
Entry from the Open Quantum Materials Database: an optimized crystal structure of TbEr2Ga3AgPt2 (PBE).

* raw total energy: -5.09 eV per atom

Cell: 3.7049 13.0062 7.4897 Å, 90.00 90.00 90.00°
Space group Amm2 (No. 38)
Inequivalent atoms, fractional coordinates:
Tb 0.0000 0.0000 0.0000 [2 per cell]
Er 0.0000 0.2041 0.6121 [4 per cell]
Ga 0.5000 0.0000 0.6782 [2 per cell]
Ga 0.5000 0.1360 0.2734 [4 per cell]
Ag 0.0000 0.0000 0.4095 [2 per cell]
Pt 0.5000 0.1684 0.9075 [4 per cell]

***

[9]
Entry from the Open Quantum Materials Database: an optimized crystal structure of TlSn5Ir3 (PBE).

* raw total energy: -5.49 eV per atom

Cell: 5.5903 5.5903 7.8680 Å, 90.00 90.00 120.00°
Space group P6/mmm (No. 191)
Inequivalent atoms, fractional coordinates:
Tl 0.0000 0.0000 0.0000 [1 per cell]
Sn 0.0000 0.0000 0.5000 [1 per cell]
Sn 0.3333 0.6667 0.2139 [4 per cell]
Ir 0.0000 0.5000 0.5000 [3 per cell]

***

[10]
Entry from the Open Quantum Materials Database: an optimized crystal structure of KTmCoS3 (PBE).

* raw total energy: -5.29 eV per atom

Cell: 16.0057 4.0173 8.3113 Å, 90.00 102.70 90.00°
Space group C2/m (No. 12)
Inequivalent atoms, fractional coordinates:
K 0.1493 0.0000 0.0678 [4 per cell]
Tm 0.1643 0.0000 0.5824 [4 per cell]
Co 0.0017 0.5000 0.2628 [4 per cell]
S 0.0000 0.0000 0.5000 [2 per cell]
S 0.0000 0.5000 0.0000 [2 per cell]
S 0.1486 0.5000 0.7858 [4 per cell]
S 0.1606 0.5000 0.3580 [4 per cell]

***

[11]
Entry from the Open Quantum Materials Database: an optimized crystal structure of B4Os (PBE).

* energy above the most stable polymorph in this dataset: 0.1577 eV/atom

Cell: 4.7286 5.5551 3.2176 Å, 90.00 90.00 90.00°
Space group Pnnm (No. 58)
Inequivalent atoms, fractional coordinates:
B 0.1632 0.1250 0.0000 [4 per cell]
B 0.2402 0.8252 0.0000 [4 per cell]
Os 0.0000 0.5000 0.0000 [2 per cell]

***

[12]
Entry from the Open Quantum Materials Database: an optimized crystal structure of GdTlZnTe3 (PBE).

* energy above the most stable polymorph in this dataset: 0.0166 eV/atom

Cell: 15.7519 4.3888 11.7781 Å, 90.00 90.00 90.00°
Space group Pnma (No. 62)
Inequivalent atoms, fractional coordinates:
Gd 0.0260 0.2500 0.1581 [4 per cell]
Tl 0.2403 0.2500 0.4670 [4 per cell]
Zn 0.0171 0.7500 0.3997 [4 per cell]
Te 0.0862 0.7500 0.6145 [4 per cell]
Te 0.1017 0.2500 0.9185 [4 per cell]
Te 0.1467 0.7500 0.2536 [4 per cell]